[1]
## BaCr4Ag (GGA-PBE)

Data for a relaxed structure of BaCr4Ag.

electronic total energy = -36.73 eV per formula unit
formation energy = 1.089 eV/atom
ρ = 7.42 Mg/m³

Cell and atoms, written as POSCAR:
```
BaCr4Ag
1.0
0.000 3.702 3.702
3.702 0.000 3.702
3.702 3.702 0.000
Ba Cr Ag
1 4 1
direct
0.000 0.000 0.000 Ba
0.155 0.615 0.615 Cr
0.615 0.155 0.615 Cr
0.615 0.615 0.155 Cr
0.615 0.615 0.615 Cr
0.250 0.250 0.250 Ag
```


[2]
## KHfTl2Br8 (GGA-PBE)

Data for a relaxed structure of KHfTl2Br8.

electronic total energy = -42.68 eV per formula unit
ρ = 4.48 Mg/m³
formation energy without anion corrections = -1.126 eV/atom

Cell and atoms, written as POSCAR:
```
KHfTl2Br8
1.0
6.856 0.000 0.000
0.030 7.308 0.000
0.014 0.004 9.362
K Hf Tl Br
1 1 2 8
direct
0.000 0.000 0.000 K
0.000 0.000 0.500 Hf
0.499 0.500 0.251 Tl
0.501 0.500 0.749 Tl
0.203 0.304 0.500 Br
0.230 0.868 0.700 Br
0.231 0.869 0.300 Br
0.281 0.352 0.000 Br
0.719 0.648 0.000 Br
0.769 0.131 0.700 Br
0.770 0.132 0.300 Br
0.797 0.696 0.500 Br
```


[3]
## Zr2CuF (GGA-PBE)

Data for a relaxed structure of Zr2CuF.

offset from the most stable computed form = 86 meV/atom
electronic total energy = -25.06 eV per formula unit
ρ = 5.61 Mg/m³
formation energy without anion corrections = -0.498 eV/atom

Cell and atoms, written as POSCAR:
```
Zr2CuF
1.0
4.985 0.000 0.000
0.000 4.985 0.000
0.000 0.000 12.627
Zr Cu F
8 4 4
direct
0.202 0.250 0.125 Zr
0.250 0.702 0.375 Zr
0.250 0.798 0.875 Zr
0.298 0.250 0.625 Zr
0.702 0.750 0.625 Zr
0.750 0.202 0.875 Zr
0.750 0.298 0.375 Zr
0.798 0.750 0.125 Zr
0.000 0.000 0.500 Cu
0.000 0.500 0.750 Cu
0.500 0.000 0.250 Cu
0.500 0.500 0.000 Cu
0.000 0.000 0.000 F
0.000 0.500 0.250 F
0.500 0.000 0.750 F
0.500 0.500 0.500 F
```


[4]
## TlGeSb (GGA-PBE)

Data for a relaxed structure of TlGeSb.

offset from the most stable computed form = 0 meV/atom
electronic total energy = -10.92 eV per formula unit
ρ = 7.49 Mg/m³
formation energy without anion corrections = 0.061 eV/atom

Cell and atoms, written as POSCAR:
```
TlGeSb
1.0
4.134 0.000 0.000
-2.067 3.580 0.000
0.000 0.000 5.971
Tl Ge Sb
1 1 1
direct
0.000 0.000 0.000 Tl
0.333 0.667 0.639 Ge
0.667 0.333 0.411 Sb
```


[5]
## DyYNp2S4 (GGA-PBE)

Data for a relaxed structure of DyYNp2S4.

electronic total energy = -66.86 eV per formula unit
ρ = 8.38 Mg/m³
formation energy without anion corrections = -1.675 eV/atom

Cell and atoms, written as POSCAR:
```
DyYNp2S4
1.0
6.741 0.000 0.000
0.000 3.917 0.000
-2.289 0.000 6.410
Dy Y Np S
1 1 2 4
direct
0.000 0.000 0.000 Dy
0.000 0.500 0.500 Y
0.500 0.000 0.500 Np
0.500 0.500 0.000 Np
0.249 0.000 0.751 S
0.249 0.500 0.250 S
0.751 0.000 0.249 S
0.751 0.500 0.750 S
```


[6]
## La2Se (GGA-PBE)

Data for a relaxed structure of La2Se.

electronic total energy = -16.30 eV per formula unit
ρ = 6.29 Mg/m³
formation energy without anion corrections = -0.988 eV/atom

Cell and atoms, written as POSCAR:
```
La2Se
1.0
3.696 0.000 0.000
0.000 3.696 0.000
0.000 0.000 27.589
La Se
8 4
direct
0.000 0.250 0.310 La
0.000 0.250 0.440 La
0.000 0.750 0.560 La
0.000 0.750 0.690 La
0.500 0.250 0.060 La
0.500 0.250 0.190 La
0.500 0.750 0.810 La
0.500 0.750 0.940 La
0.000 0.250 0.875 Se
0.000 0.750 0.125 Se
0.500 0.250 0.625 Se
0.500 0.750 0.375 Se
```


[7]
## SrMgCd2Au4 (GGA-PBE)

Data for a relaxed structure of SrMgCd2Au4.

electronic total energy = -21.85 eV per formula unit
formation energy = -0.454 eV/atom
ρ = 10.47 Mg/m³

Cell and atoms, written as POSCAR:
```
SrMgCd2Au4
1.0
2.386 1.377 9.049
-2.386 1.377 9.049
0.000 -2.755 9.049
Sr Mg Cd Au
1 1 2 4
direct
0.000 0.000 0.000 Sr
0.500 0.500 0.500 Mg
0.242 0.242 0.242 Cd
0.758 0.758 0.758 Cd
0.133 0.133 0.133 Au
0.399 0.399 0.399 Au
0.601 0.601 0.601 Au
0.867 0.867 0.867 Au
```


[8]
## Ac2In6AgRh (GGA-PBE)

Data for a relaxed structure of Ac2In6AgRh.

electronic total energy = -37.46 eV per formula unit
formation energy = -0.261 eV/atom
ρ = 8.10 Mg/m³

Cell and atoms, written as POSCAR:
```
Ac2In6AgRh
1.0
7.281 0.000 0.000
3.611 6.347 0.000
3.585 2.121 6.007
Ac In Ag Rh
2 6 1 1
direct
0.176 0.183 0.460 Ac
0.824 0.817 0.540 Ac
0.147 0.344 0.858 In
0.344 0.654 0.856 In
0.348 0.854 0.144 In
0.652 0.146 0.856 In
0.656 0.346 0.144 In
0.853 0.656 0.142 In
0.500 0.500 0.500 Ag
0.000 0.000 0.000 Rh
```


[9]
## BaLiCeS3 (GGA-PBE)

Data for a relaxed structure of BaLiCeS3.

electronic total energy = -33.34 eV per formula unit
ρ = 3.97 Mg/m³
formation energy without anion corrections = -1.865 eV/atom

Cell and atoms, written as POSCAR:
```
BaLiCeS3
1.0
8.738 0.000 0.000
0.000 4.177 0.000
-2.026 0.000 8.717
Ba Li Ce S
2 2 2 6
direct
0.183 0.250 0.234 Ba
0.817 0.750 0.766 Ba
0.084 0.250 0.589 Li
0.916 0.750 0.411 Li
0.333 0.750 0.834 Ce
0.667 0.250 0.166 Ce
0.118 0.250 0.864 S
0.195 0.750 0.517 S
0.441 0.750 0.161 S
0.559 0.250 0.839 S
0.805 0.250 0.483 S
0.882 0.750 0.136 S
```


[10]
## TbSmHoLu (GGA-PBE)

Data for a relaxed structure of TbSmHoLu.

electronic total energy = -17.97 eV per formula unit
formation energy = 0.120 eV/atom
ρ = 8.46 Mg/m³

Cell and atoms, written as POSCAR:
```
TbSmHoLu
1.0
7.987 0.000 0.000
0.000 7.987 0.000
0.000 0.000 7.987
Tb Sm Ho Lu
4 4 4 4
direct
0.000 0.000 0.000 Tb
0.000 0.500 0.500 Tb
0.500 0.000 0.500 Tb
0.500 0.500 0.000 Tb
0.000 0.000 0.500 Sm
0.000 0.500 0.000 Sm
0.500 0.000 0.000 Sm
0.500 0.500 0.500 Sm
0.250 0.250 0.750 Ho
0.250 0.750 0.250 Ho
0.750 0.250 0.250 Ho
0.750 0.750 0.750 Ho
0.250 0.250 0.250 Lu
0.250 0.750 0.750 Lu
0.750 0.250 0.750 Lu
0.750 0.750 0.250 Lu
```


[11]
## TaPbC2 (GGA-PBE)

Data for a relaxed structure of TaPbC2.

electronic total energy = -30.91 eV per formula unit
formation energy = 0.776 eV/atom
ρ = 9.70 Mg/m³

Cell and atoms, written as POSCAR:
```
TaPbC2
1.0
5.332 0.000 0.000
0.000 5.332 0.000
0.000 0.000 9.931
Ta Pb C
4 4 8
direct
0.000 0.000 0.000 Ta
0.000 0.500 0.250 Ta
0.500 0.000 0.750 Ta
0.500 0.500 0.500 Ta
0.000 0.000 0.500 Pb
0.000 0.500 0.750 Pb
0.500 0.000 0.250 Pb
0.500 0.500 0.000 Pb
0.184 0.250 0.125 C
0.250 0.684 0.375 C
0.250 0.816 0.875 C
0.316 0.250 0.625 C
0.684 0.750 0.625 C
0.750 0.184 0.875 C
0.750 0.316 0.375 C
0.816 0.750 0.125 C
```


[12]
## TbY2TmSc (GGA-PBE)

Data for a relaxed structure of TbY2TmSc.

electronic total energy = -26.56 eV per formula unit
formation energy = 0.360 eV/atom
ρ = 5.66 Mg/m³

Cell and atoms, written as POSCAR:
```
TbY2TmSc
1.0
4.079 -5.576 0.000
4.079 5.576 0.000
0.000 0.000 7.097
Tb Y Tm Sc
2 4 2 2
direct
0.232 0.768 0.750 Tb
0.768 0.232 0.250 Tb
0.198 0.198 0.000 Y
0.198 0.198 0.500 Y
0.802 0.802 0.000 Y
0.802 0.802 0.500 Y
0.231 0.769 0.250 Tm
0.769 0.231 0.750 Tm
0.499 0.501 0.750 Sc
0.501 0.499 0.250 Sc
```